1.
Pr3Cd8Ag | PBE-GGA | optimized geometry

Its crystal system is trigonal. The density of states at the Fermi level comes out at 5.45 states/eV/f.u. Its energy relative to the elements is -229 meV/atom.

Geometry as CIF:
```
data_Pr3Cd8Ag
_chemical_formula_sum 'Pr9 Cd24 Ag3'
_cell_length_a 5.9548
_cell_length_b 5.9548
_cell_length_c 29.3047
_cell_angle_alpha 90.00
_cell_angle_beta 90.00
_cell_angle_gamma 120.00
_space_group_name_H-M_alt 'R 3 m'
_space_group_IT_number 160
_space_group_name_Hall 'R 3 -2"'
loop_
_atom_site_label
_atom_site_type_symbol
_atom_site_fract_x
_atom_site_fract_y
_atom_site_fract_z
Pr1 Pr 0.0000 0.0000 0.0000
Pr2 Pr 0.0000 0.0000 0.1265
Pr3 Pr 0.0000 0.0000 0.5116
Cd1 Cd 0.0000 0.0000 0.3159
Cd2 Cd 0.0000 0.0000 0.8162
Cd3 Cd 0.0005 0.5002 0.0658
Cd4 Cd 0.0013 0.5006 0.5668
Ag1 Ag 0.0000 0.0000 0.6330
```

2.
Mg2AlO | PBE-GGA | optimized geometry

Its crystal system is cubic. The density of states at the Fermi level comes out at 2.72 states/eV/f.u. The value obtained for the energy above the lowest structure with this stoichiometry is 1017 meV/atom.

Geometry as CIF:
```
data_Mg2AlO
_chemical_formula_sum 'Mg8 Al4 O4'
_cell_length_a 6.5219
_cell_length_b 6.5219
_cell_length_c 6.5219
_cell_angle_alpha 90.00
_cell_angle_beta 90.00
_cell_angle_gamma 90.00
_space_group_name_H-M_alt 'F m -3 m'
_space_group_IT_number 225
_space_group_name_Hall '-F 4 2 3'
loop_
_atom_site_label
_atom_site_type_symbol
_atom_site_fract_x
_atom_site_fract_y
_atom_site_fract_z
Mg1 Mg 0.2500 0.2500 0.2500
Al1 Al 0.0000 0.0000 0.0000
O1 O 0.0000 0.0000 0.5000
```

3.
KRb2Cu2Br6 | PBE-GGA | optimized geometry

Its crystal system is monoclinic. The density of states at the Fermi level comes out at 4.77 states/eV/f.u.

Geometry as CIF:
```
data_KRb2Cu2Br6
_chemical_formula_sum 'K2 Rb4 Cu4 Br12'
_cell_length_a 13.5198
_cell_length_b 7.5814
_cell_length_c 9.1204
_cell_angle_alpha 90.00
_cell_angle_beta 115.97
_cell_angle_gamma 90.00
_space_group_name_H-M_alt 'C 1 2/m 1'
_space_group_IT_number 12
loop_
_space_group_symop_operation_xyz
'x,y,z'
'-x,-y,-z'
'-x,y,-z'
'x,-y,z'
'x+1/2,y+1/2,z'
'-x+1/2,-y+1/2,-z'
'-x+1/2,y+1/2,-z'
'x+1/2,-y+1/2,z'
loop_
_atom_site_label
_atom_site_type_symbol
_atom_site_fract_x
_atom_site_fract_y
_atom_site_fract_z
K1 K 0.0000 0.0000 0.0000
Rb1 Rb 0.2052 0.0000 0.6936
Cu1 Cu 0.0427 0.5000 0.7433
Br1 Br 0.0707 0.2492 0.3262
Br2 Br 0.2329 0.5000 0.8867
```

4.
PmNdTeSe | PBE-GGA | optimized geometry

Its crystal system is trigonal. The density of states at the Fermi level comes out at 1.50 states/eV/f.u.

Geometry as CIF:
```
data_PmNdTeSe
_chemical_formula_sum 'Pm3 Nd3 Te3 Se3'
_cell_length_a 4.3389
_cell_length_b 4.3389
_cell_length_c 21.4801
_cell_angle_alpha 90.00
_cell_angle_beta 90.00
_cell_angle_gamma 120.00
_space_group_name_H-M_alt 'R 3 m'
_space_group_IT_number 160
_space_group_name_Hall 'R 3 -2"'
loop_
_atom_site_label
_atom_site_type_symbol
_atom_site_fract_x
_atom_site_fract_y
_atom_site_fract_z
Pm1 Pm 0.0000 0.0000 0.0000
Nd1 Nd 0.0000 0.0000 0.5220
Te1 Te 0.0000 0.0000 0.7602
Se1 Se 0.0000 0.0000 0.2620
```

5.
Rb2TaSiI6 | PBE-GGA | optimized geometry

Its crystal system is tetragonal. The density of states at the Fermi level comes out at 5.65 states/eV/f.u.

Geometry as CIF:
```
data_Rb2TaSiI6
_chemical_formula_sum 'Rb4 Ta2 Si2 I12'
_cell_length_a 8.2926
_cell_length_b 8.2926
_cell_length_c 11.7687
_cell_angle_alpha 90.00
_cell_angle_beta 90.00
_cell_angle_gamma 90.00
_space_group_name_H-M_alt 'I 4/m m m'
_space_group_IT_number 139
_space_group_name_Hall '-I 4 2'
loop_
_atom_site_label
_atom_site_type_symbol
_atom_site_fract_x
_atom_site_fract_y
_atom_site_fract_z
Rb1 Rb 0.0000 0.5000 0.2500
Ta1 Ta 0.0000 0.0000 0.0000
Si1 Si 0.0000 0.0000 0.5000
I1 I 0.0000 0.0000 0.2450
I2 I 0.2458 0.2458 0.0000
```

The E results, record by record, are as follows: -2.27, -2.93, -3.01, -5.68, -3.32 eV/atom.